Entry from the Alexandria database: a geometry-optimized HgAu structure (PBE).

The space group is Fm-3m (No. 225) and the conventional cell measures 5.705, 5.705 and 5.705 Å, with angles of 90.00, 90.00 and 90.00 degrees. The distinct sites, in fractional coordinates, are Hg at (0.000, 0.000, 0.000) and Au at (0.000, 0.000, 0.500).

Its formation energy is 0.14 eV/atom. As for the crystal system: cubic. For the total magnetization, the calculation gives 0.000 μB per formula unit.

=====

Entry from the Alexandria database: a geometry-optimized Pa2TiAl structure (PBE).

The space group is P4/mmm (No. 123) and the conventional cell measures 4.288, 4.288 and 4.598 Å, with angles of 90.00, 90.00 and 90.00 degrees. The distinct sites, in fractional coordinates, are Pa at (0.000, 0.500, 0.000), Ti at (0.000, 0.000, 0.500) and Al at (0.500, 0.500, 0.500).

Its formation energy is -0.12 eV/atom. As for the crystal system: tetragonal. For the total magnetization, the calculation gives 0.000 μB per formula unit.

=====

Entry from the Alexandria database: a geometry-optimized Li4TlN structure (PBE).

The space group is Pmna (No. 53) and the conventional cell measures 3.616, 8.623 and 6.173 Å, with angles of 90.00, 90.00 and 90.00 degrees. The distinct sites, in fractional coordinates, are Li at (0.000, 0.001, 0.167), Li at (0.000, 0.224, 0.501), Tl at (0.000, 0.500, 0.000) and N at (0.000, 0.000, 0.500).

As for the crystal system: orthorhombic. For the total magnetization, the calculation gives 0.000 μB per formula unit. As for the formation energy without anion corrections: -0.255 eV/atom.

=====

Entry from the Alexandria database: a geometry-optimized AlAs2Ru structure (PBE).

The space group is I-4m2 (No. 119) and the conventional cell measures 4.028, 4.028 and 7.825 Å, with angles of 90.00, 90.00 and 90.00 degrees. The distinct sites, in fractional coordinates, are Al at (0.000, 0.000, 0.000), As at (0.000, 0.000, 0.500), As at (0.000, 0.500, 0.750) and Ru at (0.000, 0.500, 0.250).

Its formation energy is 0.16 eV/atom. As for the crystal system: tetragonal. For the total magnetization, the calculation gives 0.000 μB per formula unit.

=====

Entry from the Alexandria database: a geometry-optimized AlHSe2 structure (PBE).

The space group is R-3m (No. 166, hexagonal axes) and the conventional cell measures 3.8000, 3.8000 and 18.7553 Å, with angles of 90.00, 90.00 and 120.00 degrees. The distinct sites, in fractional coordinates, are Al at (0.0000, 0.0000, 0.0000), H at (0.0000, 0.0000, 0.5000) and Se at (0.0000, 0.0000, 0.4055).

As for the crystal system: trigonal. For the total magnetization, the calculation gives 0.000 μB per formula unit. As for the total energy: -47.84 eV for the cell shown.

=====

Entry from the Alexandria database: a geometry-optimized TbPu3Tl4O12 structure (PBE).

The space group is Im-3m (No. 229) and the conventional cell measures 8.651, 8.651 and 8.651 Å, with angles of 90.00, 90.00 and 90.00 degrees. The distinct sites, in fractional coordinates, are Tb at (0.000, 0.000, 0.000), Pu at (0.000, 0.000, 0.500), Tl at (0.250, 0.250, 0.250), O at (0.000, 0.000, 0.267) and O at (0.000, 0.250, 0.500).

As for the crystal system: cubic. For the total magnetization, the calculation gives 7.000 μB per formula unit. As for the formation energy without anion corrections: -2.179 eV/atom.